Entry from Alexandria: a relaxed structure of Tb2Al9Pt3 (PBE-GGA).

Its formation energy is -0.850 eV per atom.

POSCAR file:
```
Tb2Al9Pt3
1.0
6.6359 -3.8210 0.0000
6.6359 3.8210 0.0000
-4.4037 0.0000 9.4608
Tb Al Pt
4 18 6
Direct
0.0849 0.2534 0.2497
0.2534 0.0849 0.7497
0.7466 0.9151 0.2503
0.9151 0.7466 0.7503
0.0245 0.8582 0.0751
0.1418 0.9755 0.4249
0.1917 0.3580 0.5726
0.2119 0.5817 0.2515
0.3122 0.4809 0.9394
0.3580 0.1917 0.0726
0.3734 0.6266 0.7500
0.4183 0.7881 0.2485
0.4809 0.3122 0.4394
0.5191 0.6878 0.5606
0.5817 0.2119 0.7515
0.6266 0.3734 0.2500
0.6420 0.8083 0.9274
0.6878 0.5191 0.0606
0.7881 0.4183 0.7485
0.8083 0.6420 0.4274
0.8582 0.0245 0.5751
0.9755 0.1418 0.9249
0.0000 0.5000 0.0000
0.1579 0.6716 0.4999
0.3284 0.8421 0.0001
0.5000 0.0000 0.5000
0.6716 0.1579 0.9999
0.8421 0.3284 0.5001
```

Entry from Alexandria: a relaxed structure of Tb8AlPt2 (PBE-GGA).

Its formation energy is -0.458 eV per atom.

POSCAR file:
```
Tb8AlPt2
1.0
4.3593 -6.7320 0.0000
4.3593 6.7320 0.0000
-1.4805 0.0000 5.2601
Tb Al Pt
8 1 2
Direct
0.0000 0.0000 0.0000
0.0591 0.3070 0.6151
0.1444 0.6260 0.1901
0.3070 0.0591 0.6151
0.4637 0.7115 0.7646
0.6260 0.1444 0.1901
0.7115 0.4637 0.7646
0.7708 0.7708 0.3801
0.3853 0.3853 0.1908
0.0797 0.6911 0.6901
0.6911 0.0797 0.6901
```

Entry from Alexandria: a relaxed structure of TbAl3Pt3 (PBE-GGA).

Its formation energy is -0.569 eV per atom.

POSCAR file:
```
TbAl3Pt3
1.0
6.7653 0.0000 0.0000
0.0000 6.7653 0.0000
0.0000 0.0000 6.7653
Tb Al Pt
2 6 6
Direct
0.0000 0.0000 0.0000
0.5000 0.5000 0.5000
0.0000 0.2500 0.5000
0.0000 0.7500 0.5000
0.2500 0.5000 0.0000
0.5000 0.0000 0.2500
0.5000 0.0000 0.7500
0.7500 0.5000 0.0000
0.0000 0.5000 0.2500
0.0000 0.5000 0.7500
0.2500 0.0000 0.5000
0.5000 0.2500 0.0000
0.5000 0.7500 0.0000
0.7500 0.0000 0.5000
```

Entry from Alexandria: a relaxed structure of TbAl12Pt4 (PBE-GGA).

Its formation energy is -0.357 eV per atom.

POSCAR file:
```
TbAl12Pt4
1.0
-4.3910 4.3910 4.3910
4.3910 -4.3910 4.3910
4.3910 4.3910 -4.3910
Tb Al Pt
1 12 4
Direct
0.0000 0.0000 0.0000
0.1585 0.4996 0.3411
0.1585 0.8173 0.6589
0.1827 0.3411 0.8415
0.3411 0.1585 0.4996
0.3411 0.8415 0.1827
0.4996 0.3411 0.1585
0.5004 0.6589 0.8415
0.6589 0.1585 0.8173
0.6589 0.8415 0.5004
0.8173 0.6589 0.1585
0.8415 0.1827 0.3411
0.8415 0.5004 0.6589
0.0000 0.0000 0.5000
0.0000 0.5000 0.0000
0.5000 0.0000 0.0000
0.5000 0.5000 0.5000
```

Entry from Alexandria: a relaxed structure of Tb2AlPt (PBE-GGA).

The calculation puts the energy above the most stable polymorph in this dataset at 0.000 kcal/mol of atoms. Its formation energy is -0.795 eV per atom.

POSCAR file:
```
Tb2AlPt
1.0
3.5908 0.0000 0.0000
0.0000 3.5908 0.0000
0.0000 0.0000 7.0223
Tb Al Pt
2 1 1
Direct
0.0000 0.0000 0.2366
0.0000 0.0000 0.7634
0.5000 0.5000 0.5000
0.5000 0.5000 0.0000
```

Entry from Alexandria: a relaxed structure of TbAl9Pt2 (PBE-GGA).

Its formation energy is -0.528 eV per atom.

POSCAR file:
```
TbAl9Pt2
1.0
-5.3464 5.3464 3.5752
5.3464 -5.3464 3.5752
5.3464 5.3464 -3.5752
Tb Al Pt
2 18 4
Direct
0.3750 0.6250 0.7500
0.6250 0.3750 0.2500
0.1250 0.8750 0.2500
0.1286 0.5565 0.3296
0.1286 0.7991 0.5721
0.2009 0.2731 0.3296
0.2009 0.8714 0.9279
0.2731 0.2009 0.8296
0.2731 0.4435 0.0721
0.4435 0.2731 0.5721
0.4435 0.8714 0.1704
0.5565 0.1286 0.8296
0.5565 0.7269 0.4279
0.7269 0.5565 0.9279
0.7269 0.7991 0.1704
0.7991 0.1286 0.0721
0.7991 0.7269 0.6704
0.8714 0.2009 0.4279
0.8714 0.4435 0.6704
0.8750 0.1250 0.7500
0.0000 0.0000 0.0000
0.0000 0.0000 0.5000
0.0000 0.5000 0.0000
0.5000 0.0000 0.5000
```

Entry from Alexandria: a relaxed structure of TbAl2Pt5 (PBE-GGA).

Its formation energy is -0.948 eV per atom.

POSCAR file:
```
TbAl2Pt5
1.0
-1.9338 3.5510 5.0472
1.9338 -3.5510 5.0472
1.9338 3.5510 -5.0472
Tb Al Pt
1 2 5
Direct
0.0000 0.0000 0.0000
0.2572 0.7572 0.5000
0.7428 0.2428 0.5000
0.1552 0.3582 0.7970
0.4387 0.6418 0.7970
0.5000 0.0000 0.5000
0.5613 0.3582 0.2030
0.8448 0.6418 0.2030
```

Entry from Alexandria: a relaxed structure of Tb2AlPt6 (PBE-GGA).

Its formation energy is -1.089 eV per atom.

POSCAR file:
```
Tb2AlPt6
1.0
4.8380 -2.8122 0.0000
4.8380 2.8122 0.0000
-1.5182 0.0000 6.0775
Tb Al Pt
2 1 6
Direct
0.1458 0.1458 0.3611
0.8542 0.8542 0.6389
0.5000 0.5000 0.5000
0.1097 0.6254 0.1917
0.3746 0.8903 0.8083
0.3785 0.3785 0.8060
0.6215 0.6215 0.1940
0.6254 0.1097 0.1917
0.8903 0.3746 0.8083
```

Entry from Alexandria: a relaxed structure of Tb2AlPt4 (PBE-GGA).

Its formation energy is -0.989 eV per atom.

POSCAR file:
```
Tb2AlPt4
1.0
4.1031 -2.7399 0.0000
4.1031 2.7399 0.0000
-3.7357 0.0000 6.7643
Tb Al Pt
2 1 4
Direct
0.1263 0.1263 0.2893
0.8737 0.8737 0.7107
0.5000 0.5000 0.0000
0.0000 0.5000 0.0000
0.4882 0.4882 0.6630
0.5000 0.0000 0.0000
0.5118 0.5118 0.3370
```

Entry from Alexandria: a relaxed structure of Tb2Al5Pt3 (PBE-GGA).

Its formation energy is -1.022 eV per atom.

POSCAR file:
```
Tb2Al5Pt3
1.0
2.1613 -12.5606 0.0000
2.1613 12.5606 0.0000
0.0000 0.0000 6.7483
Tb Al Pt
4 10 6
Direct
0.0182 0.9818 0.5000
0.3254 0.6746 0.4677
0.6746 0.3254 0.9677
0.9818 0.0182 0.0000
0.1018 0.8982 0.1483
0.2070 0.7930 0.6564
0.2112 0.7888 0.2540
0.3740 0.6260 0.9928
0.4457 0.5543 0.3261
0.5543 0.4457 0.8261
0.6260 0.3740 0.4928
0.7888 0.2112 0.7540
0.7930 0.2070 0.1564
0.8982 0.1018 0.6483
0.1078 0.8922 0.7563
0.2732 0.7268 0.9525
0.4495 0.5505 0.7170
0.5505 0.4495 0.2170
0.7268 0.2732 0.4525
0.8922 0.1078 0.2563
```

Entry from Alexandria: a relaxed structure of TbAl2Pt8 (PBE-GGA).

Its formation energy is -0.438 eV per atom.

POSCAR file:
```
TbAl2Pt8
1.0
5.3713 0.0000 0.0000
0.0000 5.3713 0.0000
0.0000 0.0000 7.8096
Tb Al Pt
1 2 8
Direct
0.0000 0.0000 0.0000
0.0000 0.5000 0.5000
0.5000 0.0000 0.5000
0.2540 0.2540 0.2790
0.2540 0.2540 0.7210
0.2540 0.7460 0.2790
0.2540 0.7460 0.7210
0.7460 0.2540 0.2790
0.7460 0.2540 0.7210
0.7460 0.7460 0.2790
0.7460 0.7460 0.7210
```

Entry from Alexandria: a relaxed structure of TbAl4Pt2 (PBE-GGA).

The calculation puts the energy above the most stable polymorph in this dataset at 1.586 kcal/mol of atoms. Its formation energy is -0.915 eV per atom.

POSCAR file:
```
TbAl4Pt2
1.0
7.7539 0.0000 0.0000
0.0000 7.7539 0.0000
0.0000 0.0000 4.1391
Tb Al Pt
2 8 4
Direct
0.0000 0.0000 0.0000
0.5000 0.5000 0.5000
0.0849 0.3341 0.5000
0.1659 0.5849 0.0000
0.3341 0.0849 0.5000
0.4151 0.8341 0.0000
0.5849 0.1659 0.0000
0.6659 0.9151 0.5000
0.8341 0.4151 0.0000
0.9151 0.6659 0.5000
0.2197 0.7803 0.5000
0.2803 0.2803 0.0000
0.7197 0.7197 0.0000
0.7803 0.2197 0.5000
```

Entry from Alexandria: a relaxed structure of TbAl4Pt2 (PBE-GGA).

The calculation puts the energy above the most stable polymorph in this dataset at 0.000 kcal/mol of atoms. Its formation energy is -0.983 eV per atom.

POSCAR file:
```
TbAl4Pt2
1.0
17.2951 0.0000 0.0000
0.0000 4.2820 0.0000
0.0000 0.0000 6.6398
Tb Al Pt
4 16 8
Direct
0.1400 0.2500 0.0151
0.3600 0.7500 0.5151
0.6400 0.2500 0.4849
0.8600 0.7500 0.9849
0.0350 0.7500 0.8443
0.0694 0.2500 0.4906
0.1862 0.7500 0.3245
0.1934 0.7500 0.7306
0.3066 0.2500 0.2306
0.3138 0.2500 0.8245
0.4306 0.7500 0.9906
0.4650 0.2500 0.3443
0.5350 0.7500 0.6557
0.5694 0.2500 0.0094
0.6862 0.7500 0.1755
0.6934 0.7500 0.7694
0.8066 0.2500 0.2694
0.8138 0.2500 0.6755
0.9306 0.7500 0.5094
0.9650 0.2500 0.1557
0.0383 0.7500 0.2448
0.2153 0.2500 0.5299
0.2847 0.7500 0.0299
0.4617 0.2500 0.7448
0.5383 0.7500 0.2552
0.7153 0.2500 0.9701
0.7847 0.7500 0.4701
0.9617 0.2500 0.7552
```

Entry from Alexandria: a relaxed structure of Tb2Al5Pt4 (PBE-GGA).

Its formation energy is -1.023 eV per atom.

POSCAR file:
```
Tb2Al5Pt4
1.0
0.0000 4.6601 8.0757
2.7104 0.0000 8.0757
2.7104 4.6601 0.0000
Tb Al Pt
2 5 4
Direct
0.1278 0.1278 0.8722
0.8722 0.8722 0.1278
0.0000 0.0000 0.5000
0.2500 0.2500 0.2500
0.5000 0.5000 0.0000
0.5000 0.5000 0.5000
0.7500 0.7500 0.7500
0.2111 0.5286 0.4714
0.4714 0.7889 0.2111
0.5286 0.2111 0.7889
0.7889 0.4714 0.5286
```

Entry from Alexandria: a relaxed structure of Tb3Al4Pt4 (PBE-GGA).

Its formation energy is -1.143 eV per atom.

POSCAR file:
```
Tb3Al4Pt4
1.0
-2.0690 3.6110 7.0937
2.0690 -3.6110 7.0937
2.0690 3.6110 -7.0937
Tb Al Pt
3 4 4
Direct
0.0000 0.0000 0.0000
0.3804 0.8804 0.5000
0.6196 0.1196 0.5000
0.0205 0.3226 0.6979
0.3754 0.6774 0.6979
0.6246 0.3226 0.3021
0.9795 0.6774 0.3021
0.2171 0.2171 0.0000
0.2946 0.5000 0.7946
0.7054 0.5000 0.2054
0.7829 0.7829 0.0000
```

Entry from Alexandria: a relaxed structure of Tb2Al3Pt (PBE-GGA).

Its formation energy is -0.793 eV per atom.

POSCAR file:
```
Tb2Al3Pt
1.0
2.7702 1.5993 4.4191
-2.7702 1.5993 4.4191
0.0000 -3.1987 4.4191
Tb Al Pt
2 3 1
Direct
0.1255 0.1255 0.1255
0.8745 0.8745 0.8745
0.0000 0.5000 0.5000
0.5000 0.0000 0.5000
0.5000 0.5000 0.0000
0.5000 0.5000 0.5000
```

Entry from Alexandria: a relaxed structure of TbAlPt2 (PBE-GGA).

Its formation energy is -1.025 eV per atom.

POSCAR file:
```
TbAlPt2
1.0
3.1541 0.0000 0.0000
0.0000 3.1541 0.0000
0.0000 0.0000 7.1410
Tb Al Pt
1 1 2
Direct
0.0000 0.0000 0.0000
0.0000 0.0000 0.5000
0.5000 0.5000 0.2937
0.5000 0.5000 0.7063
```

Entry from Alexandria: a relaxed structure of Tb2TiAlPt6 (PBE-GGA).

Its formation energy is -0.877 eV per atom.

POSCAR file:
```
Tb2TiAlPt6
1.0
2.8086 1.6216 7.7163
-2.8086 1.6216 7.7163
0.0000 -3.2431 7.7163
Tb Ti Al Pt
2 1 1 6
Direct
0.2048 0.2048 0.2048
0.7952 0.7952 0.7952
0.0000 0.0000 0.0000
0.5000 0.5000 0.5000
0.2501 0.7468 0.7468
0.2532 0.2532 0.7499
0.2532 0.7499 0.2532
0.7468 0.2501 0.7468
0.7468 0.7468 0.2501
0.7499 0.2532 0.2532
```

Entry from Alexandria: a relaxed structure of Tb2TiAl2Pt5 (PBE-GGA).

Its formation energy is -1.029 eV per atom.

POSCAR file:
```
Tb2TiAl2Pt5
1.0
10.0546 0.0000 0.0000
0.0000 10.0546 0.0000
0.0000 0.0000 3.5536
Tb Ti Al Pt
4 2 4 10
Direct
0.1755 0.3245 0.0000
0.3245 0.8245 0.0000
0.6755 0.1755 0.0000
0.8245 0.6755 0.0000
0.0000 0.0000 0.0000
0.5000 0.5000 0.0000
0.1253 0.6253 0.0000
0.3747 0.1253 0.0000
0.6253 0.8747 0.0000
0.8747 0.3747 0.0000
0.0000 0.5000 0.5000
0.0520 0.7988 0.5000
0.2012 0.0520 0.5000
0.2988 0.5520 0.5000
0.4480 0.2988 0.5000
0.5000 0.0000 0.5000
0.5520 0.7012 0.5000
0.7012 0.4480 0.5000
0.7988 0.9480 0.5000
0.9480 0.2012 0.5000
```